1.
Entry from Alexandria: a relaxed structure of YAgMo3 (PBE-GGA).

CIF file:
```
data_YAgMo3
_symmetry_space_group_name_H-M 'P m -3 m'
_symmetry_Int_Tables_number 221
_symmetry_space_group_name_Hall '-P 4 2 3'
_cell_length_a 4.800
_cell_length_b 4.800
_cell_length_c 4.800
_cell_angle_alpha 90.00
_cell_angle_beta 90.00
_cell_angle_gamma 90.00
loop_
_atom_site_label
_atom_site_type_symbol
_atom_site_fract_x
_atom_site_fract_y
_atom_site_fract_z
Y1 Y 0.000 0.000 0.000
Ag1 Ag 0.500 0.500 0.500
Mo1 Mo 0.000 0.000 0.500
```

* spin magnetization: 0.0 μB/f.u.
* energy: -5.8928 eV per atom

2.
Entry from Alexandria: a relaxed structure of Y2AgMo (PBE-GGA).

CIF file:
```
data_Y2AgMo
_symmetry_space_group_name_H-M 'F m -3 m'
_symmetry_Int_Tables_number 225
_symmetry_space_group_name_Hall '-F 4 2 3'
_cell_length_a 7.123
_cell_length_b 7.123
_cell_length_c 7.123
_cell_angle_alpha 90.00
_cell_angle_beta 90.00
_cell_angle_gamma 90.00
loop_
_atom_site_label
_atom_site_type_symbol
_atom_site_fract_x
_atom_site_fract_y
_atom_site_fract_z
Y1 Y 0.250 0.250 0.250
Ag1 Ag 0.000 0.000 0.000
Mo1 Mo 0.000 0.000 0.500
```

* spin magnetization: 0.0 μB/f.u.
* energy: -6.4730 eV per atom

3.
Entry from Alexandria: a relaxed structure of Y2AgMo (PBE-GGA).

CIF file:
```
data_Y2AgMo
_symmetry_space_group_name_H-M 'R -3 m'
_symmetry_Int_Tables_number 166
_symmetry_space_group_name_Hall '-R 3 2"'
_cell_length_a 3.4194
_cell_length_b 3.4194
_cell_length_c 28.2006
_cell_angle_alpha 90.00
_cell_angle_beta 90.00
_cell_angle_gamma 120.00
loop_
_atom_site_label
_atom_site_type_symbol
_atom_site_fract_x
_atom_site_fract_y
_atom_site_fract_z
Y1 Y 0.0000 0.0000 0.2454
Ag1 Ag 0.0000 0.0000 0.0000
Mo1 Mo 0.0000 0.0000 0.5000
```

* spin magnetization: 1.0 μB/f.u.
* energy: -6.3264 eV per atom

4.
Entry from Alexandria: a relaxed structure of Y2ZnAgMo (PBE-GGA).

CIF file:
```
data_Y2ZnAgMo
_symmetry_space_group_name_H-M 'P 4/m m m'
_symmetry_Int_Tables_number 123
_symmetry_space_group_name_Hall '-P 4 2'
_cell_length_a 5.233
_cell_length_b 5.233
_cell_length_c 4.962
_cell_angle_alpha 90.00
_cell_angle_beta 90.00
_cell_angle_gamma 90.00
loop_
_atom_site_label
_atom_site_type_symbol
_atom_site_fract_x
_atom_site_fract_y
_atom_site_fract_z
Y1 Y 0.000 0.500 0.000
Zn1 Zn 0.000 0.000 0.500
Ag1 Ag 0.500 0.500 0.500
Mo1 Mo 0.000 0.000 0.000
```

* spin magnetization: 0.0 μB/f.u.
* energy: -5.0379 eV per atom

5.
Entry from Alexandria: a relaxed structure of ZnAgMo (PBE-GGA).

CIF file:
```
data_ZnAgMo
_symmetry_space_group_name_H-M 'F m m 2'
_symmetry_Int_Tables_number 42
_symmetry_space_group_name_Hall 'F 2 -2'
_cell_length_a 3.808
_cell_length_b 3.831
_cell_length_c 12.971
_cell_angle_alpha 90.00
_cell_angle_beta 90.00
_cell_angle_gamma 90.00
loop_
_atom_site_label
_atom_site_type_symbol
_atom_site_fract_x
_atom_site_fract_y
_atom_site_fract_z
Zn1 Zn 0.000 0.000 0.000
Ag1 Ag 0.000 0.000 0.665
Mo1 Mo 0.000 0.000 0.341
```

* spin magnetization: 0.0 μB/f.u.
* energy: -4.7773 eV per atom

6.
Entry from Alexandria: a relaxed structure of ZnAgMo (PBE-GGA).

CIF file:
```
data_ZnAgMo
_symmetry_space_group_name_H-M 'C 1 2/m 1'
_symmetry_Int_Tables_number 12
_cell_length_a 8.909
_cell_length_b 2.714
_cell_length_c 9.033
_cell_angle_alpha 90.00
_cell_angle_beta 115.47
_cell_angle_gamma 90.00
loop_
_symmetry_equiv_pos_as_xyz
'x,y,z'
'-x,-y,-z'
'-x,y,-z'
'x,-y,z'
'x+1/2,y+1/2,z'
'-x+1/2,-y+1/2,-z'
'-x+1/2,y+1/2,-z'
'x+1/2,-y+1/2,z'
loop_
_atom_site_label
_atom_site_type_symbol
_atom_site_fract_x
_atom_site_fract_y
_atom_site_fract_z
Zn1 Zn 0.241 0.000 0.247
Ag1 Ag 0.092 0.000 0.901
Mo1 Mo 0.089 0.500 0.423
```

* spin magnetization: 0.0 μB/f.u.
* energy: -4.7499 eV per atom

7.
Entry from Alexandria: a relaxed structure of ZnAgMo4 (PBE-GGA).

CIF file:
```
data_ZnAgMo4
_symmetry_space_group_name_H-M 'F -4 3 m'
_symmetry_Int_Tables_number 216
_symmetry_space_group_name_Hall 'F -4 2 3'
_cell_length_a 7.424
_cell_length_b 7.424
_cell_length_c 7.424
_cell_angle_alpha 90.00
_cell_angle_beta 90.00
_cell_angle_gamma 90.00
loop_
_atom_site_label
_atom_site_type_symbol
_atom_site_fract_x
_atom_site_fract_y
_atom_site_fract_z
Zn1 Zn 0.000 0.000 0.000
Ag1 Ag 0.250 0.250 0.750
Mo1 Mo 0.125 0.125 0.375
```

* spin magnetization: 0.0 μB/f.u.
* energy: -7.3334 eV per atom

8.
Entry from Alexandria: a relaxed structure of ZnAgMo (PBE-GGA).

CIF file:
```
data_ZnAgMo
_symmetry_space_group_name_H-M 'P 3 m 1'
_symmetry_Int_Tables_number 156
_cell_length_a 2.7983
_cell_length_b 2.7983
_cell_length_c 7.0677
_cell_angle_alpha 90.00
_cell_angle_beta 90.00
_cell_angle_gamma 120.00
loop_
_symmetry_equiv_pos_as_xyz
'x,y,z'
'-y,x-y,z'
'-x+y,-x,z'
'-y,-x,z'
'-x+y,y,z'
'x,x-y,z'
loop_
_atom_site_label
_atom_site_type_symbol
_atom_site_fract_x
_atom_site_fract_y
_atom_site_fract_z
Zn1 Zn 0.0000 0.0000 0.0000
Ag1 Ag 0.6667 0.3333 0.3275
Mo1 Mo 0.3333 0.6667 0.6774
```

* spin magnetization: 0.0 μB/f.u.
* energy: -4.7108 eV per atom

9.
Entry from Alexandria: a relaxed structure of ZnAgMo3 (PBE-GGA).

CIF file:
```
data_ZnAgMo3
_symmetry_space_group_name_H-M 'P m -3 m'
_symmetry_Int_Tables_number 221
_symmetry_space_group_name_Hall '-P 4 2 3'
_cell_length_a 4.565
_cell_length_b 4.565
_cell_length_c 4.565
_cell_angle_alpha 90.00
_cell_angle_beta 90.00
_cell_angle_gamma 90.00
loop_
_atom_site_label
_atom_site_type_symbol
_atom_site_fract_x
_atom_site_fract_y
_atom_site_fract_z
Zn1 Zn 0.000 0.000 0.000
Ag1 Ag 0.500 0.500 0.500
Mo1 Mo 0.000 0.000 0.500
```

* spin magnetization: 0.0 μB/f.u.
* energy: -5.6161 eV per atom

10.
Entry from Alexandria: a relaxed structure of ZnAgMo3 (PBE-GGA).

CIF file:
```
data_ZnAgMo3
_symmetry_space_group_name_H-M 'P m -3 m'
_symmetry_Int_Tables_number 221
_symmetry_space_group_name_Hall '-P 4 2 3'
_cell_length_a 4.796
_cell_length_b 4.796
_cell_length_c 4.796
_cell_angle_alpha 90.00
_cell_angle_beta 90.00
_cell_angle_gamma 90.00
loop_
_atom_site_label
_atom_site_type_symbol
_atom_site_fract_x
_atom_site_fract_y
_atom_site_fract_z
Zn1 Zn 0.000 0.000 0.000
Ag1 Ag 0.500 0.500 0.500
Mo1 Mo 0.000 0.500 0.500
```

* spin magnetization: 0.0 μB/f.u.
* energy: -4.8829 eV per atom

11.
Entry from Alexandria: a relaxed structure of Zr2AgMo (PBE-GGA).

CIF file:
```
data_Zr2AgMo
_symmetry_space_group_name_H-M 'C m m 2'
_symmetry_Int_Tables_number 35
_cell_length_a 3.342
_cell_length_b 4.741
_cell_length_c 9.878
_cell_angle_alpha 90.00
_cell_angle_beta 90.00
_cell_angle_gamma 90.00
loop_
_symmetry_equiv_pos_as_xyz
'x,y,z'
'-x,-y,z'
'-x,y,z'
'x,-y,z'
'x+1/2,y+1/2,z'
'-x+1/2,-y+1/2,z'
'-x+1/2,y+1/2,z'
'x+1/2,-y+1/2,z'
loop_
_atom_site_label
_atom_site_type_symbol
_atom_site_fract_x
_atom_site_fract_y
_atom_site_fract_z
Zr1 Zr 0.000 0.000 0.000
Zr2 Zr 0.000 0.500 0.282
Ag1 Ag 0.000 0.000 0.537
Mo1 Mo 0.000 0.500 0.774
```

* spin magnetization: 0.0 μB/f.u.
* energy: -7.4739 eV per atom

12.
Entry from Alexandria: a relaxed structure of ZrAgMo2 (PBE-GGA).

CIF file:
```
data_ZrAgMo2
_symmetry_space_group_name_H-M 'P m m m'
_symmetry_Int_Tables_number 47
_cell_length_a 2.676
_cell_length_b 4.839
_cell_length_c 5.627
_cell_angle_alpha 90.00
_cell_angle_beta 90.00
_cell_angle_gamma 90.00
loop_
_symmetry_equiv_pos_as_xyz
'x,y,z'
'-x,-y,-z'
'-x,-y,z'
'x,y,-z'
'x,-y,-z'
'-x,y,z'
'-x,y,-z'
'x,-y,z'
loop_
_atom_site_label
_atom_site_type_symbol
_atom_site_fract_x
_atom_site_fract_y
_atom_site_fract_z
Zr1 Zr 0.000 0.000 0.000
Ag1 Ag 0.000 0.000 0.500
Mo1 Mo 0.500 0.500 0.231
```

* spin magnetization: 0.0 μB/f.u.
* energy: -7.8455 eV per atom

no.,formation enthalpy at 0 K (kJ per mole of atoms)
1,238
2,17
3,31
4,52
5,20
6,23
7,55
8,26
9,165
10,235
11,21
12,41